Entry 1:
DFT (meta-GGA SCAN) results for a crystal of ZrNi4Au relaxed with PBEsol.

a = 4.766 Å, b = 4.766 Å, c = 4.766 Å
α = 60.00°, β = 60.00°, γ = 60.00°
Fractional coordinates of all 6 atoms:
Zr 0.000 0.000 0.000
Ni 0.375 0.375 0.375
Ni 0.375 0.375 0.874
Ni 0.375 0.874 0.375
Ni 0.874 0.375 0.375
Au 0.750 0.750 0.750

Output
* calculated formation energy: -2.800 eV/f.u.
* size of the total moment: 0.0001 μB/atom

Entry 2:
DFT (meta-GGA SCAN) results for a crystal of BaMgCu relaxed with PBEsol.

a = 4.680 Å, b = 4.680 Å, c = 4.596 Å
α = 90.00°, β = 90.00°, γ = 120.00°
Fractional coordinates of all 3 atoms:
Ba 0.000 0.000 0.000
Mg 0.667 0.333 0.500
Cu 0.333 0.667 0.500

Output
* calculated formation energy: 0.152 eV/f.u.
* size of the total moment: 0.0000 μB/atom

Entry 3:
DFT (meta-GGA SCAN) results for a crystal of Rb3Cr20Se32 relaxed with PBEsol.

a = 10.783 Å, b = 11.363 Å, c = 11.467 Å
α = 69.24°, β = 81.31°, γ = 62.30°
Fractional coordinates of all 55 atoms:
Rb 0.000 0.000 0.000
Rb 0.276 0.725 0.275
Rb 0.724 0.275 0.725
Cr 0.042 0.643 0.879
Cr 0.086 0.321 0.515
Cr 0.126 0.875 0.625
Cr 0.163 0.430 0.735
Cr 0.209 0.107 0.372
Cr 0.293 0.391 0.130
Cr 0.336 0.071 0.765
Cr 0.375 0.625 0.875
Cr 0.412 0.180 0.985
Cr 0.458 0.860 0.621
Cr 0.542 0.140 0.379
Cr 0.588 0.820 0.015
Cr 0.625 0.375 0.125
Cr 0.664 0.929 0.235
Cr 0.707 0.609 0.870
Cr 0.791 0.893 0.628
Cr 0.837 0.570 0.265
Cr 0.874 0.125 0.375
Cr 0.914 0.679 0.485
Cr 0.958 0.357 0.121
Se 0.014 0.135 0.523
Se 0.072 0.102 0.224
Se 0.090 0.251 0.744
Se 0.094 0.382 0.274
Se 0.155 0.368 0.975
Se 0.159 0.499 0.507
Se 0.180 0.646 0.029
Se 0.235 0.616 0.728
Se 0.264 0.885 0.773
Se 0.323 0.854 0.475
Se 0.341 0.999 0.995
Se 0.344 0.133 0.525
Se 0.405 0.116 0.225
Se 0.407 0.250 0.756
Se 0.430 0.393 0.278
Se 0.486 0.365 0.977
Se 0.514 0.635 0.023
Se 0.570 0.607 0.722
Se 0.593 0.750 0.244
Se 0.595 0.884 0.775
Se 0.656 0.867 0.475
Se 0.659 0.001 0.005
Se 0.677 0.146 0.525
Se 0.736 0.115 0.227
Se 0.765 0.384 0.272
Se 0.820 0.354 0.971
Se 0.841 0.501 0.493
Se 0.845 0.632 0.025
Se 0.906 0.618 0.726
Se 0.910 0.749 0.256
Se 0.928 0.898 0.776
Se 0.986 0.865 0.477

Output
* E_form (uncorrected): -971 meV per atom
* size of the total moment: 1.0723 μB/atom

Entry 4:
DFT (meta-GGA SCAN) results for a crystal of Ho2VPO8 relaxed with PBEsol.

a = 5.798 Å, b = 5.798 Å, c = 5.798 Å
α = 106.05°, β = 106.05°, γ = 116.54°
Fractional coordinates of all 12 atoms:
Ho 0.000 0.000 0.000
Ho 0.750 0.250 0.500
V 0.500 0.500 0.000
P 0.250 0.750 0.500
O 0.091 0.417 0.326
O 0.091 0.765 0.674
O 0.133 0.319 0.814
O 0.235 0.909 0.326
O 0.505 0.319 0.186
O 0.583 0.909 0.674
O 0.681 0.495 0.814
O 0.681 0.867 0.186

Output
* E_form (uncorrected): -3341 meV per atom
* size of the total moment: 0.0000 μB/atom